# 1
Crystalline AcLa2UP4 at its relaxed geometry, computed with GGA-PBE.

Unit cell a=7.3230 b=4.2128 c=7.3456 alpha=90.00 beta=109.22 gamma=90.00
Closest atoms and distances in Å follow each position.
Atoms (fractional coordinates):
Ac 0.0000 0.0000 0.0000  6 P 3.04
La 0.5000 0.0000 0.5000  6 P 2.95
La 0.5000 0.5000 0.0000  6 P 3.10-3.14
U 0.0000 0.5000 0.5000  6 P 2.84-2.89
P 0.2359 0.0000 0.7290  2 U 2.89, 3 La 2.95-3.10, 1 Ac 3.04
P 0.2448 0.5000 0.2693  1 U 2.84, 3 La 2.95-3.14, 2 Ac 3.04
P 0.7552 0.5000 0.7307  1 U 2.84, 3 La 2.95-3.14, 2 Ac 3.04
P 0.7641 0.0000 0.2710  2 U 2.89, 3 La 2.95-3.10, 1 Ac 3.04

Summary:
The density comes out at 6.726 g cm⁻³. The total magnetization is 2.19 μB/f.u. The total energy is -7.1957 eV per atom.

# 2
Crystalline Sm2HfAlPt6 at its relaxed geometry, computed with GGA-PBE.

Unit cell a=8.6310 b=8.6310 c=8.6310 alpha=38.40 beta=38.40 gamma=38.40
Closest atoms and distances in Å follow each position.
Atoms (fractional coordinates):
Sm 0.2052 0.2052 0.2052  9 Pt 3.00-3.26
Sm 0.7948 0.7948 0.7948  9 Pt 3.00-3.26
Hf 0.0000 0.0000 0.0000  6 Pt 2.67
Al 0.5000 0.5000 0.5000  6 Pt 2.49
Pt 0.2488 0.7440 0.7440  1 Al 2.49, 1 Hf 2.67
Pt 0.2560 0.2560 0.7512  1 Al 2.49, 1 Hf 2.67
Pt 0.2560 0.7512 0.2560  1 Al 2.49, 1 Hf 2.67
Pt 0.7440 0.2488 0.7440  1 Al 2.49, 1 Hf 2.67
Pt 0.7440 0.7440 0.2488  1 Al 2.49, 1 Hf 2.67
Pt 0.7512 0.2560 0.2560  1 Al 2.49, 1 Hf 2.67

Summary:
The density comes out at 12.494 g cm⁻³. The total magnetization is 0.00 μB/f.u. The total energy is -6.8187 eV per atom.

# 3
Crystalline Eu2PuIn at its relaxed geometry, computed with GGA-PBE.

Unit cell a=4.9740 b=4.9740 c=5.0377 alpha=90.00 beta=90.00 gamma=90.00
Closest atoms and distances in Å follow each position.
Atoms (fractional coordinates):
Eu 0.0000 0.5000 0.0000  4 Eu 3.52, 4 In 3.54, 4 Pu 3.54
Eu 0.5000 0.0000 0.0000  4 Eu 3.52, 4 In 3.54, 4 Pu 3.54
Pu 0.0000 0.0000 0.5000  4 In 3.52, 8 Eu 3.54
In 0.5000 0.5000 0.5000  4 Pu 3.52, 8 Eu 3.54

Summary:
The density comes out at 8.830 g cm⁻³. The total magnetization is 8.57 μB/f.u. The total energy is -9.3810 eV per atom.

# 4
Crystalline AlZn6Ag3 at its relaxed geometry, computed with GGA-PBE.

Unit cell a=7.4626 b=4.6330 c=9.6925 alpha=90.00 beta=109.38 gamma=90.00
Closest atoms and distances in Å follow each position.
Atoms (fractional coordinates):
Al 0.1082 0.2500 0.0693  2 Ag 2.76-2.77, 8 Zn 2.78-2.85, 2 Al 2.89
Al 0.8918 0.7500 0.9307  2 Ag 2.76-2.77, 8 Zn 2.78-2.85, 2 Al 2.89
Zn 0.1034 0.2500 0.5700  7 Ag 2.80-2.85, 5 Zn 2.81-2.86
Zn 0.1047 0.7500 0.2319  5 Zn 2.72-2.84, 4 Ag 2.77-2.91, 3 Al 2.81-2.82
Zn 0.2960 0.7500 0.0373  5 Zn 2.72-2.89, 3 Al 2.78-2.85, 4 Ag 2.78-2.85
Zn 0.3060 0.2500 0.3679  4 Ag 2.76-2.81, 7 Zn 2.77-2.84, 1 Al 2.78
Zn 0.4963 0.7500 0.8282  6 Zn 2.77-2.89, 5 Ag 2.77-2.89, 1 Al 2.78
Zn 0.4976 0.7500 0.3290  8 Zn 2.73-2.81, 4 Ag 2.80-2.85
Zn 0.5024 0.2500 0.6710  8 Zn 2.73-2.81, 4 Ag 2.80-2.85
Zn 0.5037 0.2500 0.1718  6 Zn 2.77-2.89, 5 Ag 2.77-2.89, 1 Al 2.78
Zn 0.6940 0.7500 0.6321  4 Ag 2.76-2.81, 7 Zn 2.77-2.84, 1 Al 2.78
Zn 0.7040 0.2500 0.9627  5 Zn 2.72-2.89, 3 Al 2.78-2.85, 4 Ag 2.78-2.85
Zn 0.8953 0.2500 0.7681  5 Zn 2.72-2.84, 4 Ag 2.77-2.91, 3 Al 2.81-2.82
Zn 0.8966 0.7500 0.4300  7 Ag 2.80-2.85, 5 Zn 2.81-2.86
Ag 0.0859 0.7500 0.7326  8 Zn 2.76-2.89, 1 Al 2.76, 3 Ag 2.92
Ag 0.3010 0.7500 0.5302  11 Zn 2.77-2.85, 1 Ag 2.92
Ag 0.3088 0.2500 0.8741  9 Zn 2.77-2.91, 1 Al 2.77, 2 Ag 2.92
Ag 0.6912 0.7500 0.1259  9 Zn 2.77-2.91, 1 Al 2.77, 2 Ag 2.92
Ag 0.6990 0.2500 0.4698  11 Zn 2.77-2.85, 1 Ag 2.92
Ag 0.9141 0.2500 0.2674  8 Zn 2.76-2.89, 1 Al 2.76, 3 Ag 2.92

Summary:
The density comes out at 7.806 g cm⁻³. The total magnetization is 0.00 μB/f.u. The total energy is -2.0189 eV per atom.

Record-wise ΔE_f values, in meV per atom: -1334; -881; 24; -25